(1)
A plane-wave DFT calculation with PBE was carried out for a geometry-optimized TmGaCu2Ni structure.

```
TmGaCu2Ni
1.0
-1.812 1.973 5.553
1.812 -1.973 5.553
1.812 1.973 -5.553
Tm Ga Cu Ni
1 1 2 1
Cartesian
0.000 0.000 0.000
1.812 0.000 2.836
0.000 0.000 6.832
0.000 1.973 2.978
0.000 0.000 4.461
```

Properties
M_tot, μB per formula unit: 0.000

(2)
A plane-wave DFT calculation with PBE was carried out for a geometry-optimized Sc2Cu2Ni structure.

```
Sc2Cu2Ni
1.0
-2.888 5.708 2.482
2.888 -5.708 2.482
2.888 5.708 -2.482
Sc Cu Ni
4 4 2
Cartesian
1.193 1.896 0.000
1.193 -1.896 2.482
1.695 7.604 0.000
1.695 3.812 2.482
3.780 0.937 0.000
0.892 4.771 0.000
1.996 0.937 2.482
-0.892 4.771 2.482
0.000 0.000 1.241
0.000 0.000 3.723
```

Properties
M_tot, μB per formula unit: 0.000

(3)
A plane-wave DFT calculation with PBE was carried out for a geometry-optimized TmScCdHg structure.

```
TmScCdHg
1.0
0.000 3.608 3.608
3.608 0.000 3.608
3.608 3.608 0.000
Tm Sc Cd Hg
1 1 1 1
Cartesian
0.000 0.000 0.000
3.608 3.608 3.608
5.411 5.411 5.411
1.804 1.804 1.804
```

Properties
M_tot, μB per formula unit: 0.000

(4)
A plane-wave DFT calculation with PBE was carried out for a geometry-optimized SrTe2Br structure.

```
SrTe2Br
1.0
4.683 0.000 0.000
-1.952 4.995 0.000
-0.223 -1.623 6.553
Sr Te Br
1 2 1
Cartesian
0.000 0.000 0.000
2.395 0.762 2.495
2.542 3.476 3.055
0.129 1.424 6.000
```

Properties
E_form (uncorrected), eV per atom: -1.09
E above lowest polymorph, eV/atom: 0.099
M_tot, μB per formula unit: 0.000

(5)
A plane-wave DFT calculation with PBE was carried out for a geometry-optimized BeCo2Mo structure.

```
BeCo2Mo
1.0
2.502 -3.958 0.000
2.502 3.958 0.000
-1.017 0.000 2.331
Be Co Mo
1 2 1
Cartesian
0.000 0.000 0.000
0.743 1.979 1.166
0.743 -1.979 1.166
2.502 0.000 0.000
```

Properties
M_tot, μB per formula unit: 0.952

(6)
A plane-wave DFT calculation with PBE was carried out for a geometry-optimized Cs3CrH7 structure.

```
Cs3CrH7
1.0
8.363 0.000 0.000
0.000 8.363 0.000
0.000 0.000 6.202
Cs Cr H
6 2 14
Cartesian
0.000 0.000 0.000
1.582 2.599 3.101
2.599 6.781 3.101
4.182 4.182 0.000
5.764 1.582 3.101
6.781 5.764 3.101
0.000 4.182 0.000
4.182 0.000 0.000
0.000 0.000 3.101
0.846 5.028 1.234
0.846 5.028 4.969
1.209 2.972 0.000
2.972 7.154 0.000
3.336 0.846 1.234
3.336 0.846 4.969
4.182 4.182 3.101
5.028 7.517 1.234
5.028 7.517 4.969
5.391 1.209 0.000
7.154 5.391 0.000
7.517 3.336 1.234
7.517 3.336 4.969
```

Properties
M_tot, μB per formula unit: 2.482

(7)
A plane-wave DFT calculation with PBE was carried out for a geometry-optimized AgRu2I structure.

```
AgRu2I
1.0
0.000 3.232 3.232
3.232 0.000 3.232
3.232 3.232 0.000
Ag Ru I
1 2 1
Cartesian
0.000 0.000 0.000
1.616 1.616 1.616
4.848 4.848 4.848
3.232 3.232 3.232
```

Properties
E_form (uncorrected), eV per atom: 0.90
E above lowest polymorph, eV/atom: 0.000
M_tot, μB per formula unit: 0.000

(8)
A plane-wave DFT calculation with PBE was carried out for a geometry-optimized BaAsWBr2 structure.

```
BaAsWBr2
1.0
5.365 0.000 0.000
0.000 5.365 0.000
0.000 0.000 4.946
Ba As W Br
1 1 1 2
Cartesian
0.000 0.000 0.000
2.683 2.683 0.000
2.683 2.683 2.473
0.000 2.683 2.473
2.683 0.000 2.473
```

Properties
E_form (uncorrected), eV per atom: -0.37
E above lowest polymorph, eV/atom: 0.000
M_tot, μB per formula unit: 1.849

Number 1: mass density 8879 kg/m3, DFT total energy -23.1 eV/cell. Number 2: mass density 5593 kg/m3, DFT total energy -55.5 eV/cell. Number 3: mass density 9317 kg/m3, DFT total energy -13.5 eV/cell. Number 4: mass density 4580 kg/m3, DFT total energy -14.0 eV/cell. Number 5: mass density 8013 kg/m3, DFT total energy -28.1 eV/cell. Number 6: mass density 3505 kg/m3, DFT total energy -70.9 eV/cell. Number 7: mass density 10746 kg/m3, DFT total energy -19.4 eV/cell. Number 8: mass density 6483 kg/m3, DFT total energy -24.7 eV/cell.